Density functional theory data (PBE with a Hubbard U) for crystalline PmMoPb2O6 at its relaxed geometry.

a b c (Å): 5.7660 6.1901 10.3095
angles (deg): 90.00 123.11 90.00
Space group P2_1/c (No. 14)
Inequivalent atoms, fractional coordinates:
Pm  0.0000  0.0000  0.0000 [2 per cell]
Mo  0.5000  0.0000  0.5000 [2 per cell]
Pb  0.2362  0.0474  0.7270 [4 per cell]
O  0.1771  0.1720  0.4810 [4 per cell]
O  0.2865  0.7395  0.4630 [4 per cell]
O  0.3403  0.0340  0.2654 [4 per cell]

## Properties
Final energy (eV/cell): -135.7